The following is a GGA-PBE calculation of a relaxed NpSiNiN crystal, from Alexandria.

Computed properties:
- Formation energy without anion corrections: -0.83 eV/atom

Geometry as CIF:
```
data_NpSiNiN
_chemical_formula_sum 'Np2 Si2 Ni2 N2'
_cell_length_a 3.6416
_cell_length_b 3.6416
_cell_length_c 8.2432
_cell_angle_alpha 90.00
_cell_angle_beta 90.00
_cell_angle_gamma 90.00
_symmetry_space_group_name_H-M 'P 4/n m m'
_symmetry_Int_Tables_number 129
loop_
_symmetry_equiv_pos_as_xyz
'x,y,z'
'-x,-y,-z'
'-y+1/2,x,z'
'y+1/2,-x,-z'
'-x+1/2,-y+1/2,z'
'x+1/2,y+1/2,-z'
'y,-x+1/2,z'
'-y,x+1/2,-z'
'x+1/2,-y,-z'
'-x+1/2,y,z'
'-y,-x,-z'
'y,x,z'
'-x,y+1/2,-z'
'x,-y+1/2,z'
'y+1/2,x+1/2,-z'
'-y+1/2,-x+1/2,z'
loop_
_atom_site_label
_atom_site_fract_x
_atom_site_fract_y
_atom_site_fract_z
Np1 0.2500 0.2500 0.1536
Si1 0.2500 0.2500 0.6600
Ni1 0.2500 0.7500 0.5000
N1 0.2500 0.2500 0.8777
```


The following is a GGA-PBE calculation of a relaxed Pm4Ge3Rh crystal, from Alexandria.

Computed properties:
- Formation enthalpy at 0 K: -0.810 eV per atom

Geometry as CIF:
```
data_Pm4Ge3Rh
_chemical_formula_sum 'Pm4 Ge3 Rh1'
_cell_length_a 4.1069
_cell_length_b 4.3234
_cell_length_c 11.0013
_cell_angle_alpha 90.00
_cell_angle_beta 90.00
_cell_angle_gamma 90.00
_symmetry_space_group_name_H-M 'P m m 2'
_symmetry_Int_Tables_number 25
loop_
_symmetry_equiv_pos_as_xyz
'x,y,z'
'-x,-y,z'
'-x,y,z'
'x,-y,z'
loop_
_atom_site_label
_atom_site_fract_x
_atom_site_fract_y
_atom_site_fract_z
Pm1 0.0000 0.0000 0.0000
Pm2 0.0000 0.5000 0.4873
Pm3 0.5000 0.0000 0.7116
Pm4 0.5000 0.5000 0.2178
Ge1 0.0000 0.5000 0.7710
Ge2 0.5000 0.0000 0.4293
Ge3 0.5000 0.5000 0.9310
Rh1 0.0000 0.0000 0.2747
```


The following is a GGA-PBE calculation of a relaxed LaInPd2 crystal, from Alexandria.

Computed properties:
- Formation enthalpy at 0 K: -0.331 eV per atom

Geometry as CIF:
```
data_LaInPd2
_chemical_formula_sum 'La4 In4 Pd8'
_cell_length_a 4.8300
_cell_length_b 4.8300
_cell_length_c 17.7388
_cell_angle_alpha 90.00
_cell_angle_beta 90.00
_cell_angle_gamma 90.00
_symmetry_space_group_name_H-M 'I -4 2 d'
_symmetry_Int_Tables_number 122
_symmetry_space_group_name_Hall 'I -4 2bw'
loop_
_atom_site_label
_atom_site_fract_x
_atom_site_fract_y
_atom_site_fract_z
La1 0.0000 0.0000 0.0000
In1 0.0000 0.0000 0.5000
Pd1 0.1588 0.2500 0.6250
```